Entry 1:
Here is an optimized crystal structure of LaTbTe2O8 from Alexandria via LeMat-Bulk. Energies are from GGA-PBE.

a = 6.378 Å, b = 6.378 Å, c = 6.378 Å
α = 107.32°, β = 107.32°, γ = 113.87°
Sites, in units of the cell vectors:
Tb  0.250  0.750  0.500
O  0.306  0.496  0.190
O  0.374  0.053  0.321
O  0.504  0.694  0.810
O  0.306  0.116  0.810
O  0.884  0.694  0.190
O  0.731  0.053  0.679
O  0.947  0.626  0.679
O  0.947  0.269  0.321
La  0.000  0.000  0.000
Te  0.500  0.500  0.000
Te  0.750  0.250  0.500

Calculated values
* magnetic moment: 0.00 μB/f.u.
* crystal system: tetragonal
* calculated total energy: -78.83 eV/cell
* uncorrected formation energy: -1944 meV/atom

***

Entry 2:
Here is an optimized crystal structure of LaTbTeO2 from Alexandria via LeMat-Bulk. Energies are from GGA-PBE.

a = 4.181 Å, b = 7.015 Å, c = 8.024 Å
α = 107.22°, β = 90.00°, γ = 90.00°
Sites, in units of the cell vectors:
La  0.250  0.680  0.925
La  0.750  0.320  0.075
Tb  0.250  0.657  0.413
Tb  0.750  0.343  0.587
O  0.750  0.516  0.872
O  0.750  0.507  0.385
O  0.250  0.493  0.615
O  0.250  0.484  0.128
Te  0.750  0.949  0.255
Te  0.250  0.051  0.745

Calculated values
* magnetic moment: 0.00 μB/f.u.
* crystal system: monoclinic
* calculated total energy: -75.05 eV/cell
* uncorrected formation energy: -2982 meV/atom

***

Entry 3:
Here is an optimized crystal structure of LaTbTe2O from Alexandria via LeMat-Bulk. Energies are from GGA-PBE.

a = 4.271 Å, b = 4.271 Å, c = 15.802 Å
α = 90.00°, β = 90.00°, γ = 90.00°
Sites, in units of the cell vectors:
Tb  0.000  0.500  0.873
Tb  0.500  0.000  0.127
Te  0.500  0.000  0.914
Te  0.000  0.500  0.086
Te  0.000  0.500  0.692
Te  0.500  0.000  0.308
La  0.000  0.500  0.428
La  0.500  0.000  0.572
O  0.000  0.000  0.500
O  0.500  0.500  0.500

Calculated values
* magnetic moment: 0.00 μB/f.u.
* crystal system: tetragonal
* calculated total energy: -63.05 eV/cell
* uncorrected formation energy: -2146 meV/atom

***

Entry 4:
Here is an optimized crystal structure of La2TbTe2O2 from Alexandria via LeMat-Bulk. Energies are from GGA-PBE.

a = 4.460 Å, b = 4.460 Å, c = 8.965 Å
α = 104.40°, β = 104.40°, γ = 90.00°
Sites, in units of the cell vectors:
Te  0.183  0.183  0.365
Te  0.817  0.817  0.635
La  0.388  0.388  0.776
La  0.612  0.612  0.224
Tb  0.000  0.000  0.000
O  0.000  0.500  0.000
O  0.500  0.000  0.000

Calculated values
* magnetic moment: 0.00 μB/f.u.
* crystal system: tetragonal
* calculated total energy: -46.70 eV/cell
* uncorrected formation energy: -2287 meV/atom

***

Entry 5:
Here is an optimized crystal structure of La12TbTl4O3 from Alexandria via LeMat-Bulk. Energies are from GGA-PBE.

a = 9.072 Å, b = 9.072 Å, c = 9.072 Å
α = 109.47°, β = 109.47°, γ = 109.47°
Sites, in units of the cell vectors:
La  0.750  0.500  0.250
La  0.500  0.250  0.750
La  0.750  0.250  0.500
La  0.000  0.727  0.727
La  0.273  0.000  0.273
La  0.500  0.750  0.250
La  0.273  0.273  0.000
La  0.250  0.750  0.500
La  0.000  0.273  0.273
La  0.727  0.727  0.000
La  0.727  0.000  0.727
La  0.250  0.500  0.750
Tl  0.000  0.000  0.500
Tl  0.000  0.500  0.000
Tl  0.500  0.000  0.000
Tl  0.500  0.500  0.500
O  0.500  0.000  0.500
O  0.500  0.500  0.000
O  0.000  0.500  0.500
Tb  0.000  0.000  0.000

Calculated values
* magnetic moment: 0.01 μB/f.u.
* crystal system: cubic
* calculated total energy: -104.70 eV/cell
* uncorrected formation energy: -830 meV/atom

***

Entry 6:
Here is an optimized crystal structure of La2TbTlO6 from Alexandria via LeMat-Bulk. Energies are from GGA-PBE.

a = 6.044 Å, b = 6.044 Å, c = 6.218 Å
α = 60.92°, β = 60.92°, γ = 60.00°
Sites, in units of the cell vectors:
La  0.033  0.033  0.901
La  0.531  0.531  0.408
O  0.443  0.692  0.756
O  0.692  0.108  0.756
O  0.613  0.185  0.263
O  0.185  0.939  0.263
O  0.939  0.613  0.263
O  0.108  0.443  0.756
Tl  0.309  0.309  0.074
Tb  0.809  0.809  0.573

Calculated values
* magnetic moment: 0.00 μB/f.u.
* crystal system: trigonal
* calculated total energy: -74.01 eV/cell
* uncorrected formation energy: -2741 meV/atom